The following is a PBE calculation of an optimized crystal structure of Na3MoRh2S6, from Alexandria.

Lattice parameters (Å, degrees): 6.341 6.341 6.715 99.05 99.05 119.99
Positions (direct):
Na1 0.000 0.000 0.000
Na2 0.334 0.666 0.000
Na3 0.666 0.334 0.000
Mo1 0.500 0.500 0.500
Rh1 0.167 0.833 0.500
Rh2 0.833 0.167 0.500
S1 0.092 0.435 0.305
S2 0.222 0.222 0.696
S3 0.435 0.092 0.305
S4 0.565 0.908 0.695
S5 0.778 0.778 0.304
S6 0.908 0.565 0.695

Output
Symmetry: C2/m (12)
Mass density, g/cm3: 4.2
Total DFT energy (no corrections), eV/atom: -5.23